1.
First-principles (meta-GGA SCAN) data for a PBEsol-optimized structure of Mg2ReRh, as listed in the Alexandria database.

abc: 2.7213 2.7213 8.2519
angles: 90.00 90.00 90.00
Last column: nearest neighbours and their distance in Å.
Fractional positions:
Mg: 0.0000 0.0000 0.7332  4 Mg 2.72, 4 Rh 2.72, 4 Re 2.92
Re: 0.5000 0.5000 0.0000  4 Re 2.72, 8 Mg 2.92
Rh: 0.5000 0.5000 0.5000  4 Rh 2.72, 8 Mg 2.72
Mg: 0.0000 0.0000 0.2668  4 Mg 2.72, 4 Rh 2.72, 4 Re 2.92

Size of the total moment   0.00 μB per cell
V   61.1 Å³/cell
Calculated density   9.177 Mg/m³
Distance to the lowest polymorph of the same formula   0.00 eV per formula unit
Formation enthalpy at 0 K   -0.01 eV/atom

***

2.
First-principles (meta-GGA SCAN) data for a PBEsol-optimized structure of Si2AsCl, as listed in the Alexandria database.

abc: 3.6836 4.2274 5.8835
angles: 109.88 90.00 90.00
Last column: nearest neighbours and their distance in Å.
Fractional positions:
Cl: 0.5000 0.5670 0.8276  1 Si 2.17
As: 0.0000 0.8536 0.4053  3 Si 2.37-2.50
Si: 0.0000 0.0953 0.0954  1 As 2.37, 2 Si 2.41
Si: 0.5000 0.4841 0.1718  1 Cl 2.17, 2 Si 2.41

Size of the total moment   0.00 μB per cell
V   86.2 Å³/cell
Calculated density   3.210 Mg/m³
Distance to the lowest polymorph of the same formula   0.00 eV per formula unit
Uncorrected formation energy   -0.008 eV/atom

***

3.
First-principles (meta-GGA SCAN) data for a PBEsol-optimized structure of BaYPd2C, as listed in the Alexandria database.

abc: 5.0232 5.0232 6.2090
angles: 90.00 90.00 90.00
Last column: nearest neighbours and their distance in Å.
Fractional positions:
Pd: 0.0000 0.5000 0.0000  2 Ba 2.51
Pd: 0.5000 0.0000 0.0000  2 Ba 2.51
Ba: 0.0000 0.0000 0.0000  4 Pd 2.51
C: 0.5000 0.5000 0.5000  4 Y 3.55
Y: 0.0000 0.0000 0.5000  2 Ba 3.10

Size of the total moment   0.23 μB per cell
V   156.7 Å³/cell
Calculated density   4.781 Mg/m³
Formation enthalpy at 0 K   2.36 eV/atom

***

4.
First-principles (meta-GGA SCAN) data for a PBEsol-optimized structure of Tl2HgW, as listed in the Alexandria database.

abc: 5.0198 5.0198 5.0198
angles: 60.00 60.00 60.00
Last column: nearest neighbours and their distance in Å.
Fractional positions:
W: 0.2500 0.2500 0.2500  4 Hg 3.07, 4 Tl 3.07
Tl: 0.0000 0.0000 0.0000  4 W 3.07, 4 Tl 3.07
Hg: 0.5000 0.5000 0.5000  4 Tl 3.07, 4 W 3.07
Tl: 0.7500 0.7500 0.7500  4 Hg 3.07, 4 Tl 3.07

Size of the total moment   3.31 μB per cell
V   89.4 Å³/cell
Calculated density   14.726 Mg/m³
Distance to the lowest polymorph of the same formula   0.60 eV per formula unit
Formation enthalpy at 0 K   1.22 eV/atom

***

5.
First-principles (meta-GGA SCAN) data for a PBEsol-optimized structure of SrLaAg4, as listed in the Alexandria database.

abc: 5.7605 5.7605 5.7605
angles: 60.00 60.00 60.00
Last column: nearest neighbours and their distance in Å.
Fractional positions:
La: 0.7500 0.7500 0.7500  12 Ag 3.38, 4 Sr 3.53
Ag: 0.3745 0.3745 0.3745  6 Ag 2.87-2.89
Ag: 0.3745 0.3745 0.8765  6 Ag 2.87-2.89
Ag: 0.8765 0.3745 0.3745  6 Ag 2.87-2.89
Ag: 0.3745 0.8765 0.3745  6 Ag 2.87-2.89
Sr: 0.0000 0.0000 0.0000  12 Ag 3.38, 4 La 3.53

Size of the total moment   0.00 μB per cell
V   135.2 Å³/cell
Calculated density   8.084 Mg/m³
Formation enthalpy at 0 K   -0.19 eV/atom

***

6.
First-principles (meta-GGA SCAN) data for a PBEsol-optimized structure of FePO4, as listed in the Alexandria database.

abc: 5.1588 5.2946 5.1589
angles: 60.83 90.00 119.16
Last column: nearest neighbours and their distance in Å.
Fractional positions:
P: 0.0000 0.0000 0.0000  4 O 1.54
Fe: 0.7500 0.5000 0.7500  4 O 1.85
O: 0.8923 0.2284 0.9913  1 P 1.54
O: 0.7802 0.7716 0.8923  1 P 1.54
O: 0.9912 0.7715 0.3361  1 P 1.54
O: 0.3362 0.2285 0.7802  1 P 1.54

Size of the total moment   5.00 μB per cell
V   102.1 Å³/cell
Calculated density   2.453 Mg/m³
Uncorrected formation energy   -2.139 eV/atom

***

7.
First-principles (meta-GGA SCAN) data for a PBEsol-optimized structure of Sr2MgH6, as listed in the Alexandria database.

abc: 4.1456 5.4128 5.4128
angles: 120.00 90.00 90.00
Last column: nearest neighbours and their distance in Å.
Fractional positions:
H: 0.2374 0.1789 0.3579  1 Mg 1.94
H: 0.7626 0.8211 0.6421  1 Mg 1.94
H: 0.2374 0.1789 0.8211  1 Mg 1.94
H: 0.7626 0.8211 0.1789  1 Mg 1.94
Mg: 0.0000 0.0000 0.0000  6 H 1.94
H: 0.7626 0.3579 0.1789  1 Mg 1.94
Sr: 0.2628 0.6667 0.3333  12 H 2.53-2.71
Sr: 0.7372 0.3333 0.6667  12 H 2.53-2.71
H: 0.2374 0.6421 0.8211  1 Mg 1.94

E_tot   -8.352 eV/atom
Size of the total moment   0.00 μB per cell
V   105.2 Å³/cell
Calculated density   3.246 Mg/m³

***

8.
First-principles (meta-GGA SCAN) data for a PBEsol-optimized structure of Mg3CrS, as listed in the Alexandria database.

abc: 5.1015 5.1015 5.1015
angles: 90.00 90.00 90.00
Last column: nearest neighbours and their distance in Å.
Fractional positions:
Mg: 0.0000 0.5000 0.0000  2 Cr 2.55
Mg: 0.5000 0.0000 0.0000  2 Cr 2.55
Mg: 0.0000 0.0000 0.5000  2 Cr 2.55
Cr: 0.0000 0.0000 0.0000  6 Mg 2.55
S: 0.5000 0.5000 0.5000  12 Mg 3.61

Size of the total moment   5.46 μB per cell
V   132.8 Å³/cell
Calculated density   1.963 Mg/m³
Uncorrected formation energy   0.711 eV/atom

***

9.
First-principles (meta-GGA SCAN) data for a PBEsol-optimized structure of LaNiPt, as listed in the Alexandria database.

abc: 3.9691 4.2144 4.2144
angles: 120.00 90.00 90.00
Last column: nearest neighbours and their distance in Å.
Fractional positions:
Pt: 0.5000 0.6667 0.3333  3 Ni 2.43
Ni: 0.5000 0.3333 0.6667  3 Pt 2.43
La: 0.0000 0.0000 0.0000  6 Pt 3.14, 6 Ni 3.14

Size of the total moment   0.63 μB per cell
V   61.1 Å³/cell
Calculated density   10.680 Mg/m³
Formation enthalpy at 0 K   -0.87 eV/atom

***

10.
First-principles (meta-GGA SCAN) data for a PBEsol-optimized structure of AlCuCl, as listed in the Alexandria database.

abc: 4.3773 4.3773 4.3773
angles: 60.00 60.00 60.00
Last column: nearest neighbours and their distance in Å.
Fractional positions:
Cu: 0.2500 0.2500 0.2500  4 Cl 2.68, 4 Al 2.68
Cl: 0.5000 0.5000 0.5000  4 Cu 2.68
Al: 0.0000 0.0000 0.0000  4 Cu 2.68

Size of the total moment   0.00 μB per cell
V   59.3 Å³/cell
Calculated density   3.527 Mg/m³
Distance to the lowest polymorph of the same formula   1.41 eV per formula unit
Uncorrected formation energy   0.367 eV/atom

***

11.
First-principles (meta-GGA SCAN) data for a PBEsol-optimized structure of SrIn4Hg, as listed in the Alexandria database.

abc: 6.1338 6.1338 6.1338
angles: 60.00 60.00 60.00
Last column: nearest neighbours and their distance in Å.
Fractional positions:
In: 0.3747 0.3747 0.3747  6 In 3.06-3.07
In: 0.3747 0.3747 0.8760  6 In 3.06-3.07
Sr: 0.7500 0.7500 0.7500  12 In 3.60, 4 Hg 3.76
In: 0.3747 0.8760 0.3747  6 In 3.06-3.07
In: 0.8760 0.3747 0.3747  6 In 3.06-3.07
Hg: 0.0000 0.0000 0.0000  12 In 3.60, 4 Sr 3.76

Size of the total moment   0.00 μB per cell
V   163.2 Å³/cell
Calculated density   7.606 Mg/m³
Formation enthalpy at 0 K   -0.23 eV/atom

***

12.
First-principles (meta-GGA SCAN) data for a PBEsol-optimized structure of KCaSb2, as listed in the Alexandria database.

abc: 4.2685 4.2685 7.0599
angles: 90.00 90.00 90.00
Last column: nearest neighbours and their distance in Å.
Fractional positions:
Sb: 0.0000 0.0000 0.0140  1 Ca 2.97
Sb: 0.5000 0.5000 0.2737  4 Ca 3.23, 2 K 3.51-3.55, 4 Sb 3.53
K: 0.5000 0.5000 0.7771  6 Sb 3.45-3.55, 4 Ca 3.86
Ca: 0.0000 0.0000 0.4353  5 Sb 2.97-3.23

Size of the total moment   0.00 μB per cell
V   128.6 Å³/cell
Calculated density   4.166 Mg/m³
Distance to the lowest polymorph of the same formula   1.92 eV per formula unit
Uncorrected formation energy   -0.215 eV/atom

***

13.
First-principles (meta-GGA SCAN) data for a PBEsol-optimized structure of Sb3BrF, as listed in the Alexandria database.

abc: 4.9416 4.9416 4.9416
angles: 90.00 90.00 90.00
Last column: nearest neighbours and their distance in Å.
Fractional positions:
Sb: 0.0000 0.0000 0.5000  2 F 2.47
Sb: 0.5000 0.0000 0.0000  2 F 2.47
F: 0.0000 0.0000 0.0000  6 Sb 2.47
Sb: 0.0000 0.5000 0.0000  2 F 2.47
Br: 0.5000 0.5000 0.5000  12 Sb 3.49

Size of the total moment   0.00 μB per cell
V   120.7 Å³/cell
Calculated density   6.388 Mg/m³
Uncorrected formation energy   0.206 eV/atom

***

14.
First-principles (meta-GGA SCAN) data for a PBEsol-optimized structure of KLiBe2, as listed in the Alexandria database.

abc: 2.7212 2.7212 10.0440
angles: 82.21 82.21 60.00
Last column: nearest neighbours and their distance in Å.
Fractional positions:
Be: 0.2615 0.2615 0.2155  3 Li 2.65, 6 Be 2.72
Li: 0.0000 0.0000 0.0000  6 Be 2.65, 6 Li 2.72
K: 0.5000 0.5000 0.5000  6 K 2.72
Be: 0.7385 0.7385 0.7845  3 Li 2.65, 6 Be 2.72

Size of the total moment   0.03 μB per cell
V   63.6 Å³/cell
Calculated density   1.672 Mg/m³
Distance to the lowest polymorph of the same formula   0.00 eV per formula unit
Formation enthalpy at 0 K   0.95 eV/atom

***

15.
First-principles (meta-GGA SCAN) data for a PBEsol-optimized structure of MgFeW2, as listed in the Alexandria database.

abc: 2.9930 4.3486 5.1733
angles: 114.85 106.81 90.00
Last column: nearest neighbours and their distance in Å.
Fractional positions:
Fe: 0.5000 0.0000 0.0000  4 W 2.55, 4 Mg 2.64
W: 0.7677 0.7677 0.5355  2 Fe 2.55, 4 W 2.66, 2 Mg 2.81
W: 0.2323 0.2323 0.4645  2 Fe 2.55, 4 W 2.66, 2 Mg 2.81
Mg: 0.0000 0.5000 0.0000  4 Fe 2.64, 4 W 2.81

Size of the total moment   0.00 μB per cell
V   57.9 Å³/cell
Calculated density   12.842 Mg/m³
Formation enthalpy at 0 K   0.35 eV/atom

***

16.
First-principles (meta-GGA SCAN) data for a PBEsol-optimized structure of SrBI2N, as listed in the Alexandria database.

abc: 2.9845 6.2070 6.2070
angles: 90.00 90.00 90.00
Last column: nearest neighbours and their distance in Å.
Fractional positions:
I: 0.0000 0.5000 0.0000  2 I 2.98, 2 B 3.10
N: 0.5000 0.0000 0.0000  2 B 1.49
I: 0.0000 0.0000 0.5000  2 I 2.98, 2 B 3.10
Sr: 0.5000 0.5000 0.5000  2 Sr 2.98
B: 0.0000 0.0000 0.0000  2 N 1.49

Size of the total moment   0.00 μB per cell
V   115.0 Å³/cell
Calculated density   5.289 Mg/m³
Uncorrected formation energy   -0.108 eV/atom

***

17.
First-principles (meta-GGA SCAN) data for a PBEsol-optimized structure of Ba2LaGeBr, as listed in the Alexandria database.

abc: 5.4262 6.3743 6.3743
angles: 90.00 90.00 90.00
Last column: nearest neighbours and their distance in Å.
Fractional positions:
La: 0.5000 0.5000 0.5000  8 Ba 4.19, 4 Br 4.51
Br: 0.5000 0.0000 0.0000  2 Ge 2.71
Ba: 0.0000 0.5000 0.0000  2 Ge 3.19
Ge: 0.0000 0.0000 0.0000  2 Br 2.71
Ba: 0.0000 0.0000 0.5000  2 Ge 3.19

Size of the total moment   3.29 μB per cell
V   220.5 Å³/cell
Calculated density   4.264 Mg/m³
Uncorrected formation energy   0.066 eV/atom

***

18.
First-principles (meta-GGA SCAN) data for a PBEsol-optimized structure of Cu4Au3, as listed in the Alexandria database.

abc: 3.0213 3.0213 10.7762
angles: 98.06 98.06 90.00
Last column: nearest neighbours and their distance in Å.
Fractional positions:
Cu: 0.5730 0.5730 0.1460  4 Cu 2.47, 4 Au 2.64
Au: 0.7047 0.7047 0.4094  5 Cu 2.63-2.78, 4 Au 2.87
Au: 0.2953 0.2953 0.5906  5 Cu 2.63-2.78, 4 Au 2.87
Cu: 0.8679 0.8679 0.7358  4 Cu 2.47, 4 Au 2.63
Cu: 0.4270 0.4270 0.8540  4 Cu 2.47, 4 Au 2.64
Cu: 0.1321 0.1321 0.2642  4 Cu 2.47, 4 Au 2.63
Au: 0.0000 0.0000 0.0000  10 Cu 2.64-2.79

Size of the total moment   0.00 μB per cell
V   96.4 Å³/cell
Calculated density   14.554 Mg/m³
Formation enthalpy at 0 K   -0.04 eV/atom

***

19.
First-principles (meta-GGA SCAN) data for a PBEsol-optimized structure of Y3Ag, as listed in the Alexandria database.

abc: 6.6485 6.8267 9.6654
angles: 90.00 90.00 90.00
Last column: nearest neighbours and their distance in Å.
Fractional positions:
Y: 0.1998 0.7021 0.0510  2 Ag 2.91-3.03
Y: 0.3002 0.2021 0.0510  2 Ag 2.91-3.03
Y: 0.8002 0.2979 0.5510  2 Ag 2.91-3.03
Y: 0.1094 0.9936 0.7500  2 Ag 2.87-3.02
Y: 0.3906 0.4936 0.7500  2 Ag 2.87-3.02
Y: 0.6094 0.5064 0.2500  2 Ag 2.87-3.02
Ag: 0.5330 0.0736 0.7500  6 Y 2.87-3.03
Ag: 0.0330 0.4264 0.2500  6 Y 2.87-3.03
Y: 0.6998 0.7979 0.9490  2 Ag 2.91-3.03
Ag: 0.4670 0.9264 0.2500  6 Y 2.87-3.03
Y: 0.6998 0.7979 0.5510  2 Ag 2.91-3.03
Y: 0.3002 0.2021 0.4490  2 Ag 2.91-3.03
Y: 0.8002 0.2979 0.9490  2 Ag 2.91-3.03
Ag: 0.9670 0.5736 0.7500  6 Y 2.87-3.03
Y: 0.8906 0.0064 0.2500  2 Ag 2.87-3.02
Y: 0.1998 0.7021 0.4490  2 Ag 2.91-3.03

Size of the total moment   0.00 μB per cell
V   438.7 Å³/cell
Calculated density   5.672 Mg/m³
Distance to the lowest polymorph of the same formula   0.00 eV per formula unit
Formation enthalpy at 0 K   -0.21 eV/atom

***

20.
First-principles (meta-GGA SCAN) data for a PBEsol-optimized structure of Y3MgTl, as listed in the Alexandria database.

abc: 5.4603 5.4603 5.4603
angles: 90.00 90.00 90.00
Last column: nearest neighbours and their distance in Å.
Fractional positions:
Tl: 0.5000 0.5000 0.5000  12 Y 3.86
Y: 0.5000 0.0000 0.0000  2 Mg 2.73
Mg: 0.0000 0.0000 0.0000  6 Y 2.73
Y: 0.0000 0.0000 0.5000  2 Mg 2.73
Y: 0.0000 0.5000 0.0000  2 Mg 2.73

Size of the total moment   1.32 μB per cell
V   162.8 Å³/cell
Calculated density   5.053 Mg/m³
Formation enthalpy at 0 K   0.49 eV/atom